The following is a PBE-GGA calculation of an optimized crystal structure of SmScFe, from Alexandria.

The value obtained for the calculated formation energy is 4.9 meV/atom. Its space group is No. 64. Its calculated volume is 68.8 Å³/f.u.

Cell and atoms, written as POSCAR:
```
SmScFe
1.0
-0.537 -1.257 6.391
-5.118 -1.813 -4.128
3.016 -6.279 -0.981
Fe Sm Sc
4 4 4
Direct
0.410 0.819 0.462
0.590 0.181 0.538
0.910 0.819 0.038
0.090 0.181 0.962
0.695 0.391 0.889
0.805 0.609 0.389
0.195 0.391 0.611
0.305 0.609 0.111
0.211 0.923 0.750
0.289 0.077 0.250
0.789 0.077 0.250
0.711 0.923 0.750
```

***

The following is a PBE-GGA calculation of an optimized crystal structure of FeBi3Cl, from Alexandria.

Its space group is No. 221. Its calculated volume is 136.6 Å³/f.u. The raw formation energy is 0.2910 eV/atom.

Cell and atoms, written as POSCAR:
```
FeBi3Cl
1.0
5.150 0.000 0.000
0.000 5.150 0.000
0.000 0.000 5.150
Bi Cl Fe
3 1 1
Direct
0.500 0.000 0.000
0.000 0.500 0.000
0.000 0.000 0.500
0.500 0.500 0.500
0.000 0.000 0.000
```

***

no.,E_tot (eV for the cell shown),E above lowest polymorph (meV per atom),ρ (g/cm3)
1,-78.0,0,6.061
2,-20.5,0,8.733